Here is SmGaSe2 after structural relaxation from the Alexandria database. Energies are from PBE-GGA.

```
SmGaSe2
1.0
5.854 0.000 0.000
0.000 4.234 0.000
-2.832 0.000 7.685
Sm Ga Se
2 2 4
direct
0.143 0.250 0.294
0.857 0.750 0.706
0.279 0.250 0.812
0.721 0.750 0.188
0.264 0.750 0.073
0.291 0.750 0.572
0.709 0.250 0.428
0.736 0.250 0.927
```

Calculated values
E	-4.9571	eV/atom
total magnetic moment	0.0	μB/cell
ΔE_f (raw)	-123	kJ per mole of atoms
mass density	6.6	Mg/m³

Here is Sm3Ga5Se12 after structural relaxation from the Alexandria database. Energies are from PBE-GGA.

```
Sm3Ga5Se12
1.0
-8.004 8.004 8.004
8.004 -8.004 8.004
8.004 8.004 -8.004
Sm Ga Se
12 20 48
direct
0.125 0.250 0.375
0.125 0.375 0.750
0.250 0.375 0.125
0.250 0.875 0.625
0.375 0.125 0.250
0.375 0.750 0.125
0.625 0.250 0.875
0.625 0.875 0.750
0.750 0.125 0.375
0.750 0.625 0.875
0.875 0.625 0.250
0.875 0.750 0.625
0.000 0.000 0.000
0.000 0.000 0.500
0.000 0.500 0.000
0.000 0.500 0.500
0.125 0.750 0.875
0.125 0.875 0.250
0.250 0.125 0.875
0.250 0.625 0.375
0.375 0.250 0.625
0.375 0.625 0.750
0.500 0.000 0.000
0.500 0.000 0.500
0.500 0.500 0.000
0.500 0.500 0.500
0.625 0.375 0.250
0.625 0.750 0.375
0.750 0.375 0.625
0.750 0.875 0.125
0.875 0.125 0.750
0.875 0.250 0.125
0.033 0.209 0.124
0.033 0.324 0.909
0.085 0.709 0.676
0.085 0.876 0.409
0.091 0.624 0.415
0.091 0.967 0.676
0.124 0.033 0.209
0.124 0.591 0.915
0.176 0.209 0.585
0.176 0.467 0.591
0.209 0.124 0.033
0.209 0.585 0.176
0.291 0.324 0.915
0.291 0.467 0.376
0.324 0.909 0.033
0.324 0.915 0.291
0.376 0.291 0.467
0.376 0.585 0.909
0.409 0.085 0.876
0.409 0.824 0.533
0.415 0.091 0.624
0.415 0.824 0.791
0.467 0.376 0.291
0.467 0.591 0.176
0.533 0.409 0.824
0.533 0.624 0.709
0.585 0.176 0.209
0.585 0.909 0.376
0.591 0.176 0.467
0.591 0.915 0.124
0.624 0.415 0.091
0.624 0.709 0.533
0.676 0.085 0.709
0.676 0.091 0.967
0.709 0.533 0.624
0.709 0.676 0.085
0.791 0.415 0.824
0.791 0.876 0.967
0.824 0.533 0.409
0.824 0.791 0.415
0.876 0.409 0.085
0.876 0.967 0.791
0.909 0.033 0.324
0.909 0.376 0.585
0.915 0.124 0.591
0.915 0.291 0.324
0.967 0.676 0.091
0.967 0.791 0.876
```

Calculated values
E	-4.5727	eV/atom
total magnetic moment	0.0	μB/cell
ΔE_f (raw)	-98	kJ per mole of atoms
mass density	5.7	Mg/m³

Here is Sm6GaSe4 after structural relaxation from the Alexandria database. Energies are from PBE-GGA.

```
Sm6GaSe4
1.0
2.051 -6.876 0.000
2.051 6.876 0.000
0.000 0.000 21.178
Sm Ga Se
12 2 8
direct
0.000 0.000 0.000
0.000 0.000 0.500
0.170 0.830 0.750
0.275 0.725 0.086
0.275 0.725 0.414
0.445 0.555 0.667
0.445 0.555 0.833
0.555 0.445 0.167
0.555 0.445 0.333
0.725 0.275 0.586
0.725 0.275 0.914
0.830 0.170 0.250
0.170 0.830 0.250
0.830 0.170 0.750
0.085 0.915 0.626
0.085 0.915 0.874
0.361 0.639 0.541
0.361 0.639 0.959
0.639 0.361 0.041
0.639 0.361 0.459
0.915 0.085 0.126
0.915 0.085 0.374
```

Calculated values
E	-5.5482	eV/atom
total magnetic moment	0.0	μB/cell
ΔE_f (raw)	-138	kJ per mole of atoms
mass density	7.2	Mg/m³

Here is Sm2GaSe after structural relaxation from the Alexandria database. Energies are from PBE-GGA.

```
Sm2GaSe
1.0
1.988 1.148 7.901
-1.988 1.148 7.901
0.000 -2.296 7.901
Sm Ga Se
2 1 1
direct
0.000 0.000 0.000
0.178 0.178 0.178
0.756 0.756 0.756
0.587 0.587 0.587
```

Calculated values
E	-5.0408	eV/atom
total magnetic moment	0.0	μB/cell
ΔE_f (raw)	-102	kJ per mole of atoms
mass density	6.9	Mg/m³

Here is Sm7GaSe5 after structural relaxation from the Alexandria database. Energies are from PBE-GGA.

```
Sm7GaSe5
1.0
6.865 -2.056 0.000
6.865 2.056 0.000
-0.009 0.000 24.764
Sm Ga Se
14 2 10
direct
0.030 0.030 0.250
0.138 0.138 0.963
0.139 0.139 0.537
0.309 0.309 0.180
0.309 0.309 0.320
0.409 0.409 0.886
0.410 0.410 0.614
0.590 0.590 0.386
0.591 0.591 0.114
0.691 0.691 0.680
0.691 0.691 0.820
0.861 0.861 0.463
0.862 0.862 0.037
0.970 0.970 0.750
0.309 0.309 0.750
0.691 0.691 0.250
0.052 0.052 0.857
0.053 0.053 0.643
0.224 0.224 0.072
0.224 0.224 0.428
0.500 0.500 0.000
0.500 0.500 0.500
0.776 0.776 0.572
0.776 0.776 0.928
0.947 0.947 0.357
0.948 0.948 0.143
```

Calculated values
E	-5.6081	eV/atom
total magnetic moment	0.0	μB/cell
ΔE_f (raw)	-144	kJ per mole of atoms
mass density	7.2	Mg/m³

Here is SmGaSe2 after structural relaxation from the Alexandria database. Energies are from PBE-GGA.

```
SmGaSe2
1.0
2.102 1.214 7.458
-2.102 1.214 7.458
0.000 -2.427 7.458
Sm Ga Se
1 1 2
direct
0.000 0.000 0.000
0.828 0.828 0.828
0.410 0.410 0.410
0.595 0.595 0.595
```

Calculated values
E	-4.9008	eV/atom
total magnetic moment	0.0	μB/cell
ΔE_f (raw)	-118	kJ per mole of atoms
mass density	5.5	Mg/m³

Here is Sm4GaSe2 after structural relaxation from the Alexandria database. Energies are from PBE-GGA.

```
Sm4GaSe2
1.0
-4.658 4.658 4.587
4.658 -4.658 4.587
4.658 4.658 -4.587
Sm Ga Se
8 2 4
direct
0.190 0.250 0.560
0.190 0.631 0.940
0.250 0.190 0.060
0.369 0.810 0.560
0.631 0.190 0.440
0.750 0.810 0.940
0.810 0.369 0.060
0.810 0.750 0.440
0.125 0.875 0.250
0.875 0.125 0.750
0.000 0.500 0.500
0.500 0.000 0.000
0.500 0.500 0.000
0.500 0.500 0.500
```

Calculated values
E	-5.2710	eV/atom
total magnetic moment	0.0	μB/cell
ΔE_f (raw)	-111	kJ per mole of atoms
mass density	6.9	Mg/m³

Here is Sm3GaSe6 after structural relaxation from the Alexandria database. Energies are from PBE-GGA.

```
Sm3GaSe6
1.0
5.698 -7.084 0.000
5.698 7.084 0.000
0.000 0.000 6.885
Sm Ga Se
6 2 12
direct
0.098 0.902 0.500
0.219 0.414 0.400
0.414 0.219 0.900
0.586 0.781 0.400
0.781 0.586 0.900
0.902 0.098 0.000
0.299 0.701 0.864
0.701 0.299 0.364
0.068 0.598 0.687
0.130 0.195 0.701
0.195 0.130 0.201
0.281 0.719 0.216
0.402 0.932 0.687
0.460 0.540 0.720
0.540 0.460 0.220
0.598 0.068 0.187
0.719 0.281 0.716
0.805 0.870 0.701
0.870 0.805 0.201
0.932 0.402 0.187
```

Calculated values
E	-5.3742	eV/atom
total magnetic moment	0.0	μB/cell
ΔE_f (raw)	-151	kJ per mole of atoms
mass density	5.9	Mg/m³